[1]
Density functional theory data (PBE) for Na3HgGe after structural relaxation.

Properties
Crystal system: monoclinic
Relative energy among the computed polymorphs: 0 meV per atom

a = 5.7893 Å, b = 5.7893 Å, c = 10.5331 Å
α = 97.39°, β = 97.39°, γ = 49.37°
Fractional coordinates of all 10 atoms:
1 Na 0.0439 0.0439 0.3610
2 Na 0.2799 0.2799 0.7584
3 Na 0.3889 0.3889 0.1009
4 Na 0.6111 0.6111 0.8991
5 Na 0.7201 0.7201 0.2416
6 Na 0.9561 0.9561 0.6390
7 Hg 0.3506 0.3506 0.4442
8 Hg 0.6494 0.6494 0.5558
9 Ge 0.0898 0.0898 0.0839
10 Ge 0.9102 0.9102 0.9161

---

[2]
Density functional theory data (PBE) for NaHgGe after structural relaxation.

Properties
Crystal system: hexagonal
Relative energy among the computed polymorphs: 29 meV per atom

a = 4.7222 Å, b = 4.7222 Å, c = 3.6499 Å
α = 90.00°, β = 90.00°, γ = 120.00°
Fractional coordinates of all 3 atoms:
1 Na 0.0000 0.0000 0.0000
2 Hg 0.6667 0.3333 0.5000
3 Ge 0.3333 0.6667 0.5000

---

[3]
Density functional theory data (PBE) for NaHgGe after structural relaxation.

Properties
Crystal system: tetragonal
Relative energy among the computed polymorphs: 165 meV per atom

a = 3.2838 Å, b = 3.2838 Å, c = 12.8623 Å
α = 90.00°, β = 90.00°, γ = 90.00°
Fractional coordinates of all 6 atoms:
1 Na 0.0000 0.0000 0.0000
2 Na 0.5000 0.5000 0.5000
3 Hg 0.0000 0.0000 0.6702
4 Hg 0.5000 0.5000 0.1702
5 Ge 0.0000 0.0000 0.3272
6 Ge 0.5000 0.5000 0.8272

---

[4]
Density functional theory data (PBE) for NaHg2Ge after structural relaxation.

Properties
Crystal system: trigonal

a = 4.8142 Å, b = 4.8142 Å, c = 17.1622 Å
α = 90.00°, β = 90.00°, γ = 120.00°
Fractional coordinates of all 12 atoms:
1 Na 0.0000 0.0000 0.0000
2 Na 0.3333 0.6667 0.6667
3 Na 0.6667 0.3333 0.3333
4 Hg 0.0000 0.0000 0.4209
5 Hg 0.0000 0.0000 0.5883
6 Hg 0.3333 0.6667 0.0876
7 Hg 0.3333 0.6667 0.2550
8 Hg 0.6667 0.3333 0.7542
9 Hg 0.6667 0.3333 0.9217
10 Ge 0.0000 0.0000 0.7566
11 Ge 0.3333 0.6667 0.4233
12 Ge 0.6667 0.3333 0.0899

---

[5]
Density functional theory data (PBE) for NaHgGe after structural relaxation.

Properties
Crystal system: monoclinic
Relative energy among the computed polymorphs: 39 meV per atom

a = 11.2292 Å, b = 4.2450 Å, c = 7.3413 Å
α = 90.00°, β = 121.29°, γ = 90.00°
Fractional coordinates of all 12 atoms:
1 Na 0.0000 0.0000 0.0000
2 Na 0.1770 0.5000 0.4390
3 Na 0.5000 0.5000 0.0000
4 Na 0.6770 0.0000 0.4390
5 Hg 0.2198 0.5000 0.0425
6 Hg 0.2596 0.0000 0.7897
7 Hg 0.7198 0.0000 0.0425
8 Hg 0.7596 0.5000 0.7897
9 Ge 0.4586 0.5000 0.4317
10 Ge 0.4627 0.0000 0.6446
11 Ge 0.9586 0.0000 0.4317
12 Ge 0.9627 0.5000 0.6446

---

[6]
Density functional theory data (PBE) for Na6Hg5Ge after structural relaxation.

Properties
Crystal system: monoclinic

a = 5.6460 Å, b = 6.7571 Å, c = 8.0083 Å
α = 90.00°, β = 100.45°, γ = 90.00°
Fractional coordinates of all 12 atoms:
1 Na 0.0000 0.2447 0.0000
2 Na 0.0000 0.7553 0.0000
3 Na 0.2515 0.2439 0.6666
4 Na 0.2515 0.7561 0.6666
5 Na 0.7485 0.2439 0.3334
6 Na 0.7485 0.7561 0.3334
7 Hg 0.2595 0.5000 0.3291
8 Hg 0.2665 0.0000 0.3157
9 Hg 0.5000 0.5000 0.0000
10 Hg 0.7335 0.0000 0.6843
11 Hg 0.7405 0.5000 0.6709
12 Ge 0.5000 0.0000 0.0000

---

no.,total DFT energy (no corrections) (hartree per atom),energy of formation (eV per atom)
1,-0.070,-0.13
2,-0.080,-0.09
3,-0.075,0.05
4,-0.058,0.05
5,-0.079,-0.08
6,-0.050,-0.19